1.
# Dy3Zn

A relaxed structure of Dy3Zn (PBE-GGA, Alexandria via LeMat-Bulk).

a = 4.7352 Å, b = 4.7352 Å, c = 4.7352 Å
α = 90.00°, β = 90.00°, γ = 90.00°
Last column: nearest neighbours and their distance in Å.
Positions (direct):
Zn 0.0000 0.0000 0.0000  12 Dy 3.35
Dy 0.0000 0.5000 0.5000  8 Dy 3.35, 4 Zn 3.35
Dy 0.5000 0.5000 0.0000  8 Dy 3.35, 4 Zn 3.35
Dy 0.5000 0.0000 0.5000  8 Dy 3.35, 4 Zn 3.35

Calculated values
* ΔE_f: -0.03 eV/atom
* E above lowest polymorph: 12.8 kJ per mole of atoms
* crystal system: cubic
* volume: 106 Å³/f.u.
* space group: Pm-3m


2.
# DyZn2

A relaxed structure of DyZn2 (PBE-GGA, Alexandria via LeMat-Bulk).

a = 5.4562 Å, b = 5.4562 Å, c = 5.4562 Å
α = 60.00°, β = 60.00°, γ = 60.00°
Last column: nearest neighbours and their distance in Å.
Positions (direct):
Zn 0.1250 0.6250 0.6250  6 Zn 2.73
Zn 0.6250 0.6250 0.1250  6 Zn 2.73
Zn 0.6250 0.6250 0.6250  6 Zn 2.73
Zn 0.6250 0.1250 0.6250  6 Zn 2.73
Dy 0.2500 0.2500 0.2500  12 Zn 3.20, 4 Dy 3.34
Dy 0.0000 0.0000 0.0000  12 Zn 3.20, 4 Dy 3.34

Calculated values
* ΔE_f: -0.34 eV/atom
* crystal system: cubic
* volume: 57 Å³/f.u.
* space group: Fd-3m


3.
# Dy4Zn

A relaxed structure of Dy4Zn (PBE-GGA, Alexandria via LeMat-Bulk).

a = 3.5503 Å, b = 3.5503 Å, c = 11.3952 Å
α = 98.96°, β = 98.96°, γ = 90.00°
Last column: nearest neighbours and their distance in Å.
Positions (direct):
Zn 0.0000 0.0000 0.0000  8 Dy 3.08
Dy 0.5799 0.5799 0.1599  4 Zn 3.08
Dy 0.8054 0.8054 0.6109  12 Dy 3.52-3.58
Dy 0.1946 0.1946 0.3891  12 Dy 3.52-3.58
Dy 0.4201 0.4201 0.8401  4 Zn 3.08

Calculated values
* ΔE_f: -0.12 eV/atom
* E above lowest polymorph: 0.0 kJ per mole of atoms
* crystal system: tetragonal
* volume: 140 Å³/f.u.
* space group: I4/mmm


4.
# Dy4Zn

A relaxed structure of Dy4Zn (PBE-GGA, Alexandria via LeMat-Bulk).

a = 8.6638 Å, b = 5.7590 Å, c = 8.7806 Å
α = 70.86°, β = 60.44°, γ = 48.36°
Last column: nearest neighbours and their distance in Å.
Positions (direct):
Dy 0.2579 0.1560 0.1721  2 Zn 2.96
Dy 0.4299 0.6560 0.8279  2 Zn 2.96
Dy 0.3362 0.3512 0.6251  2 Zn 3.34-3.35, 9 Dy 3.46-3.70
Dy 0.7421 0.8440 0.8279  2 Zn 2.96
Dy 0.0387 0.1488 0.6251  2 Zn 3.34-3.35, 9 Dy 3.46-3.70
Dy 0.9613 0.8512 0.3749  2 Zn 3.34-3.35, 9 Dy 3.46-3.70
Dy 0.5701 0.3440 0.1721  2 Zn 2.96
Dy 0.6638 0.6488 0.3749  2 Zn 3.34-3.35, 9 Dy 3.46-3.70
Zn 0.9998 0.7500 0.0004  2 Zn 2.88, 4 Dy 2.96
Zn 0.0002 0.2500 0.9996  2 Zn 2.88, 4 Dy 2.96

Calculated values
* ΔE_f: -0.05 eV/atom
* E above lowest polymorph: 7.2 kJ per mole of atoms
* crystal system: monoclinic
* volume: 142 Å³/f.u.
* space group: C2/c


5.
# DyZn4

A relaxed structure of DyZn4 (PBE-GGA, Alexandria via LeMat-Bulk).

a = 7.7829 Å, b = 7.7829 Å, c = 7.7829 Å
α = 109.47°, β = 109.47°, γ = 109.47°
Last column: nearest neighbours and their distance in Å.
Positions (direct):
Zn 0.2500 0.7500 0.5000  4 Zn 2.62
Zn 0.0000 0.3502 0.3502  7 Zn 2.58-2.69
Zn 0.5000 0.2500 0.7500  4 Zn 2.62
Zn 0.7947 0.7947 0.7947  6 Zn 2.58-2.61, 1 Dy 2.81
Zn 0.7500 0.2500 0.5000  4 Zn 2.62
Zn 0.6498 0.0000 0.6498  7 Zn 2.58-2.69
Zn 0.2500 0.5000 0.7500  4 Zn 2.62
Zn 0.0000 0.2053 0.0000  6 Zn 2.58-2.61, 1 Dy 2.81
Zn 0.0000 0.6498 0.6498  7 Zn 2.58-2.69
Zn 0.3502 0.0000 0.3502  7 Zn 2.58-2.69
Zn 0.0000 0.0000 0.2053  6 Zn 2.58-2.61, 1 Dy 2.81
Zn 0.3502 0.3502 0.0000  7 Zn 2.58-2.69
Zn 0.6498 0.6498 0.0000  7 Zn 2.58-2.69
Zn 0.2053 0.0000 0.0000  6 Zn 2.58-2.61, 1 Dy 2.81
Zn 0.5000 0.7500 0.2500  4 Zn 2.62
Zn 0.7500 0.5000 0.2500  4 Zn 2.62
Dy 0.4331 0.4331 0.4331  4 Zn 2.81-3.00
Dy 0.0000 0.0000 0.5669  4 Zn 2.81-3.00
Dy 0.0000 0.5669 0.0000  4 Zn 2.81-3.00
Dy 0.5669 0.0000 0.0000  4 Zn 2.81-3.00

Calculated values
* ΔE_f: -0.21 eV/atom
* crystal system: cubic
* volume: 91 Å³/f.u.
* space group: I-43m


6.
# Dy5Zn3

A relaxed structure of Dy5Zn3 (PBE-GGA, Alexandria via LeMat-Bulk).

a = 3.5725 Å, b = 3.5725 Å, c = 15.7332 Å
α = 90.00°, β = 90.00°, γ = 90.00°
Last column: nearest neighbours and their distance in Å.
Positions (direct):
Dy 0.0000 0.0000 0.2237  4 Zn 3.07
Dy 0.0000 0.0000 0.7763  4 Zn 3.07
Dy 0.0000 0.0000 0.0000  8 Zn 3.09
Dy 0.5000 0.5000 0.3887  4 Zn 3.07
Dy 0.5000 0.5000 0.6113  4 Zn 3.07
Zn 0.5000 0.5000 0.8873  8 Dy 3.07-3.09
Zn 0.5000 0.5000 0.1127  8 Dy 3.07-3.09
Zn 0.0000 0.0000 0.5000  8 Dy 3.07

Calculated values
* ΔE_f: -0.25 eV/atom
* crystal system: tetragonal
* volume: 201 Å³/f.u.
* space group: P4/mmm


7.
# Dy5Zn2

A relaxed structure of Dy5Zn2 (PBE-GGA, Alexandria via LeMat-Bulk).

a = 7.0033 Å, b = 6.6903 Å, c = 8.7709 Å
α = 90.87°, β = 113.53°, γ = 90.00°
Last column: nearest neighbours and their distance in Å.
Positions (direct):
Dy 0.4960 0.2500 0.0000  4 Zn 2.95-3.04
Dy 0.9531 0.0053 0.1850  1 Zn 2.81
Dy 0.5040 0.7500 0.0000  4 Zn 2.95-3.04
Dy 0.0469 0.9947 0.8150  1 Zn 2.81
Dy 0.7516 0.2618 0.4532  2 Zn 2.93-3.08
Dy 0.7016 0.7618 0.4532  2 Zn 2.93-3.08
Dy 0.7681 0.4947 0.8150  1 Zn 2.81
Dy 0.2484 0.7382 0.5468  2 Zn 2.93-3.08
Dy 0.2319 0.5053 0.1850  1 Zn 2.81
Dy 0.2984 0.2382 0.5468  2 Zn 2.93-3.08
Zn 0.1453 0.4868 0.7738  5 Dy 2.81-3.08
Zn 0.6285 0.9868 0.7738  5 Dy 2.81-3.08
Zn 0.8547 0.5132 0.2262  5 Dy 2.81-3.08
Zn 0.3715 0.0132 0.2262  5 Dy 2.81-3.08

Calculated values
* ΔE_f: -0.14 eV/atom
* crystal system: monoclinic
* volume: 188 Å³/f.u.
* space group: C2/c


8.
# Dy3Zn

A relaxed structure of Dy3Zn (PBE-GGA, Alexandria via LeMat-Bulk).

a = 5.3202 Å, b = 5.3202 Å, c = 5.3202 Å
α = 60.00°, β = 60.00°, γ = 60.00°
Last column: nearest neighbours and their distance in Å.
Positions (direct):
Dy 0.2500 0.2500 0.2500  4 Dy 3.26, 4 Zn 3.26
Dy 0.7500 0.7500 0.7500  4 Zn 3.26, 4 Dy 3.26
Dy 0.0000 0.0000 0.0000  8 Dy 3.26
Zn 0.5000 0.5000 0.5000  8 Dy 3.26

Calculated values
* ΔE_f: 0.05 eV/atom
* E above lowest polymorph: 20.8 kJ per mole of atoms
* crystal system: cubic
* volume: 106 Å³/f.u.
* space group: Fm-3m


9.
# DyZn2

A relaxed structure of DyZn2 (PBE-GGA, Alexandria via LeMat-Bulk).

a = 3.2695 Å, b = 3.2695 Å, c = 6.0308 Å
α = 105.73°, β = 105.73°, γ = 90.00°
Last column: nearest neighbours and their distance in Å.
Positions (direct):
Dy 0.0000 0.0000 0.0000  8 Zn 3.09, 4 Dy 3.27
Zn 0.3154 0.3154 0.6308  4 Zn 2.73
Zn 0.6846 0.6846 0.3692  4 Zn 2.73

Calculated values
* ΔE_f: -0.20 eV/atom
* crystal system: tetragonal
* volume: 60 Å³/f.u.
* space group: I4/mmm


10.
# Dy2Zn

A relaxed structure of Dy2Zn (PBE-GGA, Alexandria via LeMat-Bulk).

a = 3.5640 Å, b = 3.5640 Å, c = 12.1324 Å
α = 90.00°, β = 90.00°, γ = 90.00°
Last column: nearest neighbours and their distance in Å.
Positions (direct):
Zn 0.0000 0.0000 0.1452  8 Dy 3.07-3.08
Zn 0.0000 0.0000 0.8548  8 Dy 3.07-3.08
Dy 0.5000 0.5000 0.7086  4 Zn 3.08
Dy 0.5000 0.5000 0.2914  4 Zn 3.08
Dy 0.0000 0.0000 0.5000  12 Dy 3.56-3.57
Dy 0.5000 0.5000 0.0000  8 Zn 3.07

Calculated values
* ΔE_f: -0.22 eV/atom
* crystal system: tetragonal
* volume: 77 Å³/f.u.
* space group: P4/mmm


11.
# DyZn3

A relaxed structure of DyZn3 (PBE-GGA, Alexandria via LeMat-Bulk).

a = 4.2385 Å, b = 4.2791 Å, c = 4.2777 Å
α = 90.00°, β = 90.00°, γ = 90.00°
Last column: nearest neighbours and their distance in Å.
Positions (direct):
Zn 0.5000 0.5000 0.9168  4 Dy 3.01, 8 Zn 3.01-3.03
Zn 0.0000 0.0000 0.9169  8 Zn 3.01, 4 Dy 3.03
Zn 0.5000 0.0000 0.4161  8 Zn 3.01-3.03, 4 Dy 3.01
Dy 0.0000 0.5000 0.4168  12 Zn 3.01-3.03

Calculated values
* ΔE_f: -0.21 eV/atom
* crystal system: tetragonal
* volume: 78 Å³/f.u.
* space group: P4/mmm


12.
# DyZn3

A relaxed structure of DyZn3 (PBE-GGA, Alexandria via LeMat-Bulk).

a = 4.3841 Å, b = 6.6860 Å, c = 10.0790 Å
α = 90.00°, β = 90.00°, γ = 90.00°
Last column: nearest neighbours and their distance in Å.
Positions (direct):
Zn 0.7500 0.7806 0.0444  6 Zn 2.59-2.80
Zn 0.7500 0.0822 0.8526  5 Zn 2.59-2.79
Zn 0.2500 0.7194 0.5444  6 Zn 2.59-2.80
Zn 0.2500 0.2194 0.9556  6 Zn 2.59-2.80
Zn 0.7500 0.9638 0.6055  5 Zn 2.59-2.80
Zn 0.7500 0.5822 0.6474  5 Zn 2.59-2.79
Zn 0.7500 0.4638 0.8945  5 Zn 2.59-2.80
Zn 0.2500 0.0362 0.3945  5 Zn 2.59-2.80
Zn 0.2500 0.9178 0.1474  5 Zn 2.59-2.79
Zn 0.2500 0.5362 0.1055  5 Zn 2.59-2.80
Zn 0.7500 0.2806 0.4556  6 Zn 2.59-2.80
Zn 0.2500 0.4178 0.3526  5 Zn 2.59-2.79
Dy 0.7500 0.7210 0.3394  12 Zn 2.99-3.24
Dy 0.2500 0.2790 0.6606  12 Zn 2.99-3.24
Dy 0.7500 0.2210 0.1606  12 Zn 2.99-3.24
Dy 0.2500 0.7790 0.8394  12 Zn 2.99-3.24

Calculated values
* ΔE_f: -0.36 eV/atom
* crystal system: orthorhombic
* volume: 74 Å³/f.u.
* space group: Pnma


The following E_tot values (in eV/atom) correspond, in order, to the records above: -3.80, -2.72, -4.06, -3.99, -2.15, -3.60, -3.79, -3.72, -2.59, -3.72, -2.32, -2.46.